# PBE-GGA Mg2ReSi2, relaxed
data_Mg2ReSi2
_cell_length_a 6.457
_cell_length_b 6.457
_cell_length_c 3.899
_cell_angle_alpha 90.00
_cell_angle_beta 90.00
_cell_angle_gamma 90.00
_space_group_name_H-M_alt 'P 4/m b m'
_space_group_IT_number 127
_space_group_name_Hall '-P 4 2ab'
loop_
_atom_site_label
_atom_site_type_symbol
_atom_site_fract_x
_atom_site_fract_y
_atom_site_fract_z
Mg1 Mg 0.175 0.325 0.000
Re1 Re 0.000 0.000 0.500
Si1 Si 0.133 0.633 0.500
# ΔE_f (raw): -51 meV per atom
# Crystal system: tetragonal

***

# PBE-GGA KCl2F6, relaxed
data_KCl2F6
_cell_length_a 14.111
_cell_length_b 6.780
_cell_length_c 8.216
_cell_angle_alpha 90.00
_cell_angle_beta 117.23
_cell_angle_gamma 90.00
_space_group_name_H-M_alt 'C 1 2/c 1'
_space_group_IT_number 15
_space_group_name_Hall '-C 2yc'
loop_
_atom_site_label
_atom_site_type_symbol
_atom_site_fract_x
_atom_site_fract_y
_atom_site_fract_z
K1 K 0.000 0.173 0.250
Cl1 Cl 0.240 0.494 0.807
F1 F 0.099 0.499 0.697
F2 F 0.115 0.012 0.080
F3 F 0.243 0.484 0.559
# ΔE_f (raw): -1091 meV per atom
# Crystal system: monoclinic

***

# PBE-GGA NaBeSi2Au, relaxed
data_NaBeSi2Au
_cell_length_a 4.274
_cell_length_b 4.274
_cell_length_c 4.887
_cell_angle_alpha 90.00
_cell_angle_beta 90.00
_cell_angle_gamma 90.00
_space_group_name_H-M_alt 'P 4/m m m'
_space_group_IT_number 123
_space_group_name_Hall '-P 4 2'
loop_
_atom_site_label
_atom_site_type_symbol
_atom_site_fract_x
_atom_site_fract_y
_atom_site_fract_z
Na1 Na 0.000 0.000 0.000
Be1 Be 0.000 0.000 0.500
Si1 Si 0.000 0.500 0.500
Au1 Au 0.500 0.500 0.000
# ΔE_f (raw): 500 meV per atom
# Crystal system: tetragonal

***

# PBE-GGA HoZn2Rh2, relaxed
data_HoZn2Rh2
_cell_length_a 3.986
_cell_length_b 3.986
_cell_length_c 22.221
_cell_angle_alpha 90.00
_cell_angle_beta 90.00
_cell_angle_gamma 90.00
_space_group_name_H-M_alt 'I 4/m m m'
_space_group_IT_number 139
_space_group_name_Hall '-I 4 2'
loop_
_atom_site_label
_atom_site_type_symbol
_atom_site_fract_x
_atom_site_fract_y
_atom_site_fract_z
Ho1 Ho 0.000 0.000 0.130
Zn1 Zn 0.000 0.000 0.319
Zn2 Zn 0.000 0.500 0.000
Rh1 Rh 0.000 0.000 0.429
Rh2 Rh 0.000 0.500 0.250
# DFT formation energy: -0.5241 eV per atom
# Crystal system: tetragonal

***

# PBE-GGA Sr2TcN4, relaxed
data_Sr2TcN4
_cell_length_a 12.085
_cell_length_b 5.872
_cell_length_c 7.394
_cell_angle_alpha 90.00
_cell_angle_beta 116.45
_cell_angle_gamma 90.00
_space_group_name_H-M_alt 'C 1 2/m 1'
_space_group_IT_number 12
_space_group_name_Hall '-C 2y'
loop_
_atom_site_label
_atom_site_type_symbol
_atom_site_fract_x
_atom_site_fract_y
_atom_site_fract_z
Sr1 Sr 0.026 0.000 0.250
Sr2 Sr 0.161 0.500 0.765
Tc1 Tc 0.176 0.500 0.227
N1 N 0.092 0.500 0.378
N2 N 0.134 0.250 0.065
N3 N 0.155 0.000 0.634
# ΔE_f (raw): -443 meV per atom
# Crystal system: monoclinic

***

# PBE-GGA GdPaC2, relaxed
data_GdPaC2
_cell_length_a 3.6475
_cell_length_b 3.6475
_cell_length_c 17.6568
_cell_angle_alpha 90.00
_cell_angle_beta 90.00
_cell_angle_gamma 120.00
_space_group_name_H-M_alt 'R -3 m'
_space_group_IT_number 166
_space_group_name_Hall '-R 3 2"'
loop_
_atom_site_label
_atom_site_type_symbol
_atom_site_fract_x
_atom_site_fract_y
_atom_site_fract_z
Gd1 Gd 0.0000 0.0000 0.0000
Pa1 Pa 0.0000 0.0000 0.5000
C1 C 0.0000 0.0000 0.2409
# DFT formation energy: -0.3516 eV per atom
# Crystal system: trigonal

***

# PBE-GGA Tl3RhI, relaxed
data_Tl3RhI
_cell_length_a 6.635
_cell_length_b 27.541
_cell_length_c 5.386
_cell_angle_alpha 90.00
_cell_angle_beta 90.00
_cell_angle_gamma 90.00
_space_group_name_H-M_alt 'C m c m'
_space_group_IT_number 63
_space_group_name_Hall '-C 2c 2'
loop_
_atom_site_label
_atom_site_type_symbol
_atom_site_fract_x
_atom_site_fract_y
_atom_site_fract_z
Tl1 Tl 0.000 0.000 0.000
Tl2 Tl 0.225 0.288 0.250
Rh1 Rh 0.000 0.283 0.750
I1 I 0.000 0.111 0.750
# ΔE_f (raw): 299 meV per atom
# Crystal system: orthorhombic

***

# PBE-GGA PrHoPdRu, relaxed
data_PrHoPdRu
_cell_length_a 7.032
_cell_length_b 7.032
_cell_length_c 7.032
_cell_angle_alpha 90.00
_cell_angle_beta 90.00
_cell_angle_gamma 90.00
_space_group_name_H-M_alt 'F -4 3 m'
_space_group_IT_number 216
_space_group_name_Hall 'F -4 2 3'
loop_
_atom_site_label
_atom_site_type_symbol
_atom_site_fract_x
_atom_site_fract_y
_atom_site_fract_z
Pr1 Pr 0.000 0.000 0.000
Ho1 Ho 0.000 0.000 0.500
Pd1 Pd 0.250 0.250 0.250
Ru1 Ru 0.250 0.250 0.750
# DFT formation energy: -0.5065 eV per atom
# Crystal system: cubic

***

# PBE-GGA Li3RhS, relaxed
data_Li3RhS
_cell_length_a 4.518
_cell_length_b 4.518
_cell_length_c 4.518
_cell_angle_alpha 90.00
_cell_angle_beta 90.00
_cell_angle_gamma 90.00
_space_group_name_H-M_alt 'P m -3 m'
_space_group_IT_number 221
_space_group_name_Hall '-P 4 2 3'
loop_
_atom_site_label
_atom_site_type_symbol
_atom_site_fract_x
_atom_site_fract_y
_atom_site_fract_z
Li1 Li 0.000 0.000 0.500
Rh1 Rh 0.000 0.000 0.000
S1 S 0.500 0.500 0.500
# ΔE_f (raw): 309 meV per atom
# Crystal system: cubic

***

# PBE-GGA MgSc6O3, relaxed
data_MgSc6O3
_cell_length_a 6.0140
_cell_length_b 6.0140
_cell_length_c 15.4929
_cell_angle_alpha 90.00
_cell_angle_beta 90.00
_cell_angle_gamma 120.00
_space_group_name_H-M_alt 'R 3'
_space_group_IT_number 146
_space_group_name_Hall 'R 3'
loop_
_atom_site_label
_atom_site_type_symbol
_atom_site_fract_x
_atom_site_fract_y
_atom_site_fract_z
Mg1 Mg 0.0000 0.0000 0.0000
Sc1 Sc 0.0029 0.5672 0.0211
Sc2 Sc 0.0070 0.3222 0.1820
O1 O 0.0000 0.0000 0.2605
O2 O 0.0000 0.0000 0.4410
O3 O 0.0000 0.0000 0.7651
# ΔE_f (raw): -1613 meV per atom
# Crystal system: trigonal

***

# PBE-GGA Th2MgSn3Pd4, relaxed
data_Th2MgSn3Pd4
_cell_length_a 4.554
_cell_length_b 4.554
_cell_length_c 10.682
_cell_angle_alpha 90.00
_cell_angle_beta 90.00
_cell_angle_gamma 90.00
_space_group_name_H-M_alt 'P -4 m 2'
_space_group_IT_number 115
_space_group_name_Hall 'P -4 -2'
loop_
_atom_site_label
_atom_site_type_symbol
_atom_site_fract_x
_atom_site_fract_y
_atom_site_fract_z
Th1 Th 0.000 0.500 0.233
Mg1 Mg 0.000 0.000 0.500
Sn1 Sn 0.000 0.500 0.867
Sn2 Sn 0.500 0.500 0.500
Pd1 Pd 0.000 0.000 0.000
Pd2 Pd 0.000 0.500 0.627
Pd3 Pd 0.500 0.500 0.000
# DFT formation energy: -0.7047 eV per atom
# Crystal system: tetragonal

***

# PBE-GGA SmDy5Ga6, relaxed
data_SmDy5Ga6
_cell_length_a 5.064
_cell_length_b 15.203
_cell_length_c 7.160
_cell_angle_alpha 90.00
_cell_angle_beta 90.00
_cell_angle_gamma 90.00
_space_group_name_H-M_alt 'C m m m'
_space_group_IT_number 65
_space_group_name_Hall '-C 2 2'
loop_
_atom_site_label
_atom_site_type_symbol
_atom_site_fract_x
_atom_site_fract_y
_atom_site_fract_z
Sm1 Sm 0.000 0.000 0.000
Dy1 Dy 0.000 0.000 0.500
Dy2 Dy 0.000 0.333 0.000
Dy3 Dy 0.000 0.335 0.500
Ga1 Ga 0.000 0.168 0.253
Ga2 Ga 0.000 0.500 0.252
# DFT formation energy: -0.5815 eV per atom
# Crystal system: orthorhombic

***

# PBE-GGA LaTaAs2Se, relaxed
data_LaTaAs2Se
_cell_length_a 5.493
_cell_length_b 5.493
_cell_length_c 5.485
_cell_angle_alpha 90.00
_cell_angle_beta 90.00
_cell_angle_gamma 90.00
_space_group_name_H-M_alt 'P 4/m m m'
_space_group_IT_number 123
_space_group_name_Hall '-P 4 2'
loop_
_atom_site_label
_atom_site_type_symbol
_atom_site_fract_x
_atom_site_fract_y
_atom_site_fract_z
La1 La 0.000 0.000 0.000
Ta1 Ta 0.500 0.500 0.500
As1 As 0.000 0.500 0.000
Se1 Se 0.000 0.000 0.500
# ΔE_f (raw): 1270 meV per atom
# Crystal system: tetragonal

***

# PBE-GGA K3Dy3NpSe8, relaxed
data_K3Dy3NpSe8
_cell_length_a 8.3658
_cell_length_b 8.3658
_cell_length_c 23.3993
_cell_angle_alpha 90.00
_cell_angle_beta 90.00
_cell_angle_gamma 120.00
_space_group_name_H-M_alt 'R -3 m'
_space_group_IT_number 166
_space_group_name_Hall '-R 3 2"'
loop_
_atom_site_label
_atom_site_type_symbol
_atom_site_fract_x
_atom_site_fract_y
_atom_site_fract_z
K1 K 0.0000 0.5000 0.0000
Dy1 Dy 0.0000 0.5000 0.5000
Np1 Np 0.0000 0.0000 0.5000
Se1 Se 0.0000 0.0000 0.2347
Se2 Se 0.0034 0.5017 0.2334
# ΔE_f (raw): -1626 meV per atom
# Crystal system: trigonal

***

no.,ρ (g/cm³)
1,5.94
2,2.13
3,5.30
4,9.44
5,4.66
6,10.10
7,5.69
8,9.81
9,2.81
10,3.51
11,9.52
12,8.32
13,5.51
14,5.18